Record 1
DFT (PBE) results for an optimized crystal structure of HoTaGa.

a b c (Å): 4.047 4.047 7.947
angles (deg): 90.00 90.00 90.00
Fractional coordinates of all 6 atoms:
Ho: 0.000 0.500 0.840
Ho: 0.500 0.000 0.160
Ga: 0.000 0.500 0.250
Ga: 0.500 0.000 0.750
Ta: 0.500 0.500 0.500
Ta: 0.000 0.000 0.500

Computed properties:
M_tot ... 0.00 μB/f.u.
Fermi-level density of states ... 0.6224 states/eV per atom
Space-group type ... No. 129
Energy of formation ... -0.355 eV per atom
Uncorrected energy ... -41.0 eV for the cell shown
Mass density ... 10.6 Mg/m³
Calculated volume ... 130.2 Å³/cell



Record 2
DFT (PBE) results for an optimized crystal structure of Li4CdCu4.

a b c (Å): 3.899 6.017 6.017
angles (deg): 83.97 71.09 71.09
Fractional coordinates of all 9 atoms:
Li: 0.326 0.348 0.000
Li: 0.674 0.652 0.000
Li: 0.674 0.000 0.652
Li: 0.326 0.000 0.348
Cd: 0.000 0.000 0.000
Cu: 0.000 0.651 0.349
Cu: 0.000 0.349 0.651
Cu: 0.651 0.349 0.349
Cu: 0.349 0.651 0.651

Computed properties:
M_tot ... 0.00 μB/f.u.
Fermi-level density of states ... 0.1941 states/eV per atom
Space-group type ... No. 139
Energy of formation ... -0.076 eV per atom
Uncorrected energy ... -25.6 eV for the cell shown
Mass density ... 5.2 Mg/m³
Calculated volume ... 126.3 Å³/cell



Record 3
DFT (PBE) results for an optimized crystal structure of Ac2GaSi4Pt3.

a b c (Å): 4.388 4.388 10.122
angles (deg): 90.00 90.00 90.00
Fractional coordinates of all 10 atoms:
Ac: 0.500 0.000 0.247
Ac: 0.000 0.500 0.753
Ga: 0.500 0.500 0.500
Si: 0.500 0.500 0.000
Si: 0.000 0.000 0.000
Si: 0.500 0.000 0.636
Si: 0.000 0.500 0.364
Pt: 0.000 0.000 0.500
Pt: 0.500 0.000 0.884
Pt: 0.000 0.500 0.116

Computed properties:
Uncorrected formation energy ... -0.950 eV per atom
M_tot ... 0.00 μB/f.u.
Fermi-level density of states ... 0.2809 states/eV per atom
Space-group type ... No. 115
Uncorrected energy ... -60.6 eV for the cell shown
Mass density ... 10.4 Mg/m³
Calculated volume ... 194.9 Å³/cell